Compound: Cs2In2Hg
Source: Alexandria via LeMat-Bulk
Functional: PBE-GGA
Structure: relaxed

## Properties
As for the formation energy: 0.048 eV/atom. Its energy relative to the lowest polymorph listed for this composition is 0.1365 eV per atom. The volume comes out at 522 Å³ per cell.

Unit cell a=7.803 b=7.803 c=8.571 alpha=90.00 beta=90.00 gamma=90.00
Space group I4/mmm (No. 139)
Asymmetric unit:
1 Cs 0.000 0.500 0.250 x4
2 In 0.000 0.000 0.159 x4
3 Hg 0.000 0.000 0.500 x2